[1]
Nb3VIr | PBE | optimized geometry

POSCAR file:
```
Nb3VIr
1.0
4.859 0.000 0.000
0.000 4.859 0.000
0.000 0.000 4.859
Nb V Ir
3 1 1
Cartesian
0.000 0.000 2.430 Nb
0.000 2.430 0.000 Nb
2.430 0.000 0.000 Nb
2.430 2.430 2.430 V
0.000 0.000 0.000 Ir
```

Values from the calculation:
Formation energy from the elements = 26.37 kcal/mol of atoms
E above lowest polymorph = 0.133 eV/atom

***

[2]
Na2LiPu2S6 | PBE | optimized geometry

POSCAR file:
```
Na2LiPu2S6
1.0
3.365 -5.942 0.000
3.365 5.942 0.000
-2.134 0.000 6.623
Na Li Pu S
2 1 2 6
Cartesian
3.365 4.043 0.000 Na
3.365 -4.043 0.000 Na
-1.067 0.000 3.311 Li
2.298 1.958 3.311 Pu
2.298 -1.958 3.311 Pu
0.094 2.108 4.743 S
1.214 0.000 1.905 S
0.094 -2.108 4.743 S
4.503 2.108 1.879 S
3.382 0.000 4.717 S
4.503 -2.108 1.879 S
```

Values from the calculation:
Formation energy (no corrections) = -14.2 eV per formula unit

***

[3]
RuPtSe2 | PBE | optimized geometry

POSCAR file:
```
RuPtSe2
1.0
2.954 0.000 0.000
0.000 4.380 0.000
0.000 0.000 5.222
Ru Pt Se
1 1 2
Cartesian
0.000 0.000 0.000 Ru
1.477 0.000 2.611 Pt
0.000 2.190 2.611 Se
1.477 2.190 0.000 Se
```

Values from the calculation:
Formation energy (no corrections) = 2.0 eV per formula unit
E above lowest polymorph = 0.590 eV/atom

***

[4]
Ho2Zn3Co | PBE | optimized geometry

POSCAR file:
```
Ho2Zn3Co
1.0
4.944 -2.112 0.000
4.944 2.112 0.000
-4.307 0.000 5.358
Ho Zn Co
2 3 1
Cartesian
0.000 0.000 0.000 Ho
-1.552 0.000 3.302 Ho
2.850 0.000 1.241 Zn
6.968 0.000 0.109 Zn
5.415 0.000 2.307 Zn
1.282 0.000 3.425 Co
```

Values from the calculation:
Formation energy from the elements = -7.14 kcal/mol of atoms

***

[5]
Ce2GePd | PBE | optimized geometry

POSCAR file:
```
Ce2GePd
1.0
2.186 1.262 5.247
-2.186 1.262 5.247
0.000 -2.524 5.247
Ce Ge Pd
2 1 1
Cartesian
0.000 0.000 0.000 Ce
0.000 0.000 3.743 Ce
0.000 0.000 7.001 Ge
0.000 0.000 12.469 Pd
```

Values from the calculation:
Formation energy from the elements = -13.91 kcal/mol of atoms

***

[6]
AcThGaPd | PBE | optimized geometry

POSCAR file:
```
AcThGaPd
1.0
0.000 3.763 3.763
3.763 0.000 3.763
3.763 3.763 0.000
Ac Th Ga Pd
1 1 1 1
Cartesian
0.000 0.000 0.000 Ac
3.763 3.763 3.763 Th
5.645 5.645 5.645 Ga
1.882 1.882 1.882 Pd
```

Values from the calculation:
Formation energy from the elements = -10.20 kcal/mol of atoms